1.
The following is a DFT calculation (meta-GGA SCAN) of a crystal of TlAsSe2N relaxed with PBEsol.

Calculated values
* ρ: 8332 kg/m³

a = 4.407 Å, b = 4.407 Å, c = 4.631 Å
α = 90.00°, β = 90.00°, γ = 90.00°
Space group P4/mmm (No. 123)
One atom of each set of equivalent atoms:
1 Tl 0.000 0.000 0.000 x1
2 As 0.500 0.500 0.000 x1
3 Se 0.000 0.500 0.500 x2
4 N 0.500 0.500 0.500 x1

---

2.
The following is a DFT calculation (meta-GGA SCAN) of a crystal of TlAsSeN2 relaxed with PBEsol.

Calculated values
* ρ: 8014 kg/m³

a = 3.856 Å, b = 3.856 Å, c = 5.383 Å
α = 90.00°, β = 90.00°, γ = 90.00°
Space group P4/mmm (No. 123)
One atom of each set of equivalent atoms:
1 Tl 0.000 0.000 0.000 x1
2 As 0.500 0.500 0.500 x1
3 Se 0.500 0.500 0.000 x1
4 N 0.000 0.500 0.500 x2

---

3.
The following is a DFT calculation (meta-GGA SCAN) of a crystal of TlAs2SeN relaxed with PBEsol.

Calculated values
* ρ: 4895 kg/m³
* excess energy over the best structure of this formula in the dataset: 1.076 eV/atom

a = 5.332 Å, b = 5.332 Å, c = 5.337 Å
α = 90.00°, β = 90.00°, γ = 90.00°
Space group P4/mmm (No. 123)
One atom of each set of equivalent atoms:
1 Tl 0.000 0.000 0.000 x1
2 As 0.000 0.500 0.000 x2
3 Se 0.000 0.000 0.500 x1
4 N 0.500 0.500 0.500 x1

---

4.
The following is a DFT calculation (meta-GGA SCAN) of a crystal of ZnAsSe2N relaxed with PBEsol.

Calculated values
* ρ: 6395 kg/m³

a = 4.263 Å, b = 4.263 Å, c = 4.461 Å
α = 90.00°, β = 90.00°, γ = 90.00°
Space group P4/mmm (No. 123)
One atom of each set of equivalent atoms:
1 Zn 0.000 0.000 0.000 x1
2 As 0.500 0.500 0.000 x1
3 Se 0.000 0.500 0.500 x2
4 N 0.500 0.500 0.500 x1

---

5.
The following is a DFT calculation (meta-GGA SCAN) of a crystal of ZnAsSeN2 relaxed with PBEsol.

Calculated values
* ρ: 5455 kg/m³

a = 3.645 Å, b = 3.645 Å, c = 5.666 Å
α = 90.00°, β = 90.00°, γ = 90.00°
Space group P4/mmm (No. 123)
One atom of each set of equivalent atoms:
1 Zn 0.000 0.000 0.000 x1
2 As 0.500 0.500 0.500 x1
3 Se 0.500 0.500 0.000 x1
4 N 0.000 0.500 0.500 x2

---

6.
The following is a DFT calculation (meta-GGA SCAN) of a crystal of ZrAsSe2N relaxed with PBEsol.

Calculated values
* ρ: 6166 kg/m³

a = 5.026 Å, b = 5.026 Å, c = 3.604 Å
α = 90.00°, β = 90.00°, γ = 90.00°
Space group P4/mmm (No. 123)
One atom of each set of equivalent atoms:
1 Zr 0.000 0.000 0.000 x1
2 As 0.500 0.500 0.500 x1
3 Se 0.000 0.500 0.500 x2
4 N 0.500 0.500 0.000 x1

---

7.
The following is a DFT calculation (meta-GGA SCAN) of a crystal of Si2AsN relaxed with PBEsol.

Calculated values
* ρ: 4149 kg/m³

a = 4.577 Å, b = 4.577 Å, c = 11.087 Å
α = 90.00°, β = 90.00°, γ = 90.00°
Space group I-42d (No. 122)
One atom of each set of equivalent atoms:
1 Si 0.143 0.250 0.125 x8
2 As 0.000 0.000 0.500 x4
3 N 0.000 0.000 0.000 x4

---

8.
The following is a DFT calculation (meta-GGA SCAN) of a crystal of SiAs2N relaxed with PBEsol.

Calculated values
* ρ: 5727 kg/m³

a = 6.060 Å, b = 6.060 Å, c = 6.060 Å
α = 90.00°, β = 90.00°, γ = 90.00°
Space group Fm-3m (No. 225)
One atom of each set of equivalent atoms:
1 Si 0.000 0.000 0.000 x4
2 As 0.250 0.250 0.250 x8
3 N 0.000 0.000 0.500 x4

---

no.,formation energy (no corrections) (kJ/mol of formula units),size of the total moment (Bohr magnetons per cell),Fermi-level density of states (states/eV per atom)
1,387,0.00,0.54
2,534,1.28,0.32
3,916,1.35,0.74
4,432,0.00,0.47
5,503,0.87,0.38
6,155,0.00,0.57
7,63,0.00,0.30
8,494,4.75,0.49